Entry 1:
The following is a DFT calculation (PBE) of a relaxed Li2AcLaHg2 crystal.

a = 5.026 Å, b = 5.026 Å, c = 7.320 Å
α = 90.00°, β = 90.00°, γ = 120.00°
Positions (direct):
Li 0.333 0.667 0.222
Li 0.667 0.333 0.778
Ac 0.000 0.000 0.500
La 0.000 0.000 0.000
Hg 0.333 0.667 0.771
Hg 0.667 0.333 0.229

Size of the total moment (μB/cell): 0.00
Formation energy from the elements (eV per atom): -0.348
Crystal system: trigonal

***

Entry 2:
The following is a DFT calculation (PBE) of a relaxed I5Br2Cl2 crystal.

a = 7.485 Å, b = 7.485 Å, c = 9.498 Å
α = 110.71°, β = 110.71°, γ = 76.99°
Positions (direct):
I 0.000 0.000 0.000
I 0.204 0.204 0.517
I 0.437 0.437 0.089
I 0.563 0.563 0.911
I 0.796 0.796 0.483
Br 0.139 0.139 0.739
Br 0.861 0.861 0.261
Cl 0.230 0.230 0.227
Cl 0.770 0.770 0.773

Size of the total moment (μB/cell): 0.00
Energy relative to the elements, uncorrected (meV per atom): -25
Crystal system: monoclinic

***

Entry 3:
The following is a DFT calculation (PBE) of a relaxed HOsO4 crystal.

a = 5.659 Å, b = 5.659 Å, c = 5.659 Å
α = 113.67°, β = 113.67°, γ = 101.37°
Positions (direct):
H 0.000 0.000 0.000
H 0.750 0.250 0.500
Os 0.070 0.570 0.500
Os 0.320 0.320 0.000
O 0.003 0.324 0.679
O 0.074 0.253 0.179
O 0.074 0.894 0.821
O 0.437 0.707 0.731
O 0.457 0.226 0.769
O 0.457 0.687 0.231
O 0.644 0.324 0.321
O 0.976 0.707 0.269

Size of the total moment (μB/cell): 1.76
Calculated total energy (eV for the cell shown): -77.20
Crystal system: tetragonal

***

Entry 4:
The following is a DFT calculation (PBE) of a relaxed RuRhN2 crystal.

a = 2.817 Å, b = 2.817 Å, c = 19.356 Å
α = 90.00°, β = 90.00°, γ = 120.00°
Positions (direct):
Ru 0.000 0.000 0.000
Ru 0.333 0.667 0.667
Ru 0.667 0.333 0.333
Rh 0.000 0.000 0.500
Rh 0.333 0.667 0.167
Rh 0.667 0.333 0.833
N 0.000 0.000 0.400
N 0.000 0.000 0.600
N 0.333 0.667 0.066
N 0.333 0.667 0.267
N 0.667 0.333 0.733
N 0.667 0.333 0.934

Size of the total moment (μB/cell): 0.00
Energy relative to the lowest polymorph listed for this composition (eV/atom): 0.149
Energy relative to the elements, uncorrected (meV per atom): 487
Crystal system: trigonal

***

Entry 5:
The following is a DFT calculation (PBE) of a relaxed AlCd2P crystal.

a = 6.415 Å, b = 3.729 Å, c = 7.545 Å
α = 90.00°, β = 106.04°, γ = 90.00°
Positions (direct):
Al 0.000 0.000 0.000
Al 0.500 0.500 0.000
Cd 0.230 0.000 0.707
Cd 0.465 0.000 0.407
Cd 0.730 0.500 0.707
Cd 0.965 0.500 0.407
P 0.213 0.500 0.145
P 0.713 0.000 0.145

Size of the total moment (μB/cell): 0.00
Energy relative to the lowest polymorph listed for this composition (eV/atom): 0.000
Formation energy from the elements (eV per atom): -0.042
Crystal system: monoclinic

***

Entry 6:
The following is a DFT calculation (PBE) of a relaxed PrCuH6Pd crystal.

a = 4.620 Å, b = 4.620 Å, c = 4.452 Å
α = 90.00°, β = 90.00°, γ = 120.00°
Positions (direct):
Pr 0.000 0.000 0.000
Cu 0.333 0.667 0.500
H 0.008 0.504 0.241
H 0.008 0.504 0.759
H 0.496 0.504 0.241
H 0.496 0.504 0.759
H 0.496 0.992 0.241
H 0.496 0.992 0.759
Pd 0.667 0.333 0.500

Size of the total moment (μB/cell): 0.00
Calculated total energy (eV for the cell shown): -36.42
Crystal system: hexagonal

***

Entry 7:
The following is a DFT calculation (PBE) of a relaxed Dy4GaHgC crystal.

a = 8.068 Å, b = 8.068 Å, c = 6.920 Å
α = 90.00°, β = 90.00°, γ = 129.23°
Positions (direct):
Dy 0.000 0.500 0.000
Dy 0.000 0.500 0.500
Dy 0.079 0.921 0.750
Dy 0.417 0.583 0.750
Dy 0.500 0.000 0.000
Dy 0.500 0.000 0.500
Dy 0.583 0.417 0.250
Dy 0.921 0.079 0.250
Ga 0.126 0.874 0.250
Ga 0.874 0.126 0.750
Hg 0.381 0.619 0.250
Hg 0.619 0.381 0.750
C 0.249 0.751 0.750
C 0.751 0.249 0.250

Size of the total moment (μB/cell): 0.00
Formation energy from the elements (eV per atom): -0.385
Crystal system: orthorhombic

***

Entry 8:
The following is a DFT calculation (PBE) of a relaxed KAlTc2 crystal.

a = 2.695 Å, b = 2.695 Å, c = 9.851 Å
α = 90.00°, β = 90.00°, γ = 90.00°
Positions (direct):
K 0.000 0.000 0.000
Al 0.000 0.000 0.500
Tc 0.500 0.500 0.302
Tc 0.500 0.500 0.698

Size of the total moment (μB/cell): 0.00
Formation energy from the elements (eV per atom): 0.628
Crystal system: tetragonal

***

Entry 9:
The following is a DFT calculation (PBE) of a relaxed AsRuO4 crystal.

a = 5.116 Å, b = 4.382 Å, c = 5.586 Å
α = 90.00°, β = 90.00°, γ = 90.00°
Positions (direct):
As 0.000 0.000 0.000
As 0.000 0.500 0.500
Ru 0.500 0.000 0.702
Ru 0.500 0.500 0.202
O 0.162 0.245 0.736
O 0.162 0.255 0.236
O 0.321 0.728 0.457
O 0.321 0.772 0.957
O 0.679 0.228 0.957
O 0.679 0.272 0.457
O 0.838 0.745 0.236
O 0.838 0.755 0.736

Size of the total moment (μB/cell): 1.21
Energy relative to the elements, uncorrected (meV per atom): -956
Crystal system: orthorhombic

***

Entry 10:
The following is a DFT calculation (PBE) of a relaxed NiP2HS crystal.

a = 4.302 Å, b = 4.302 Å, c = 4.713 Å
α = 90.00°, β = 90.00°, γ = 90.00°
Positions (direct):
Ni 0.000 0.000 0.000
P 0.000 0.500 0.000
P 0.500 0.000 0.000
H 0.500 0.500 0.500
S 0.000 0.000 0.500

Size of the total moment (μB/cell): 0.62
Energy relative to the lowest polymorph listed for this composition (eV/atom): 0.324
Crystal system: tetragonal

***

Entry 11:
The following is a DFT calculation (PBE) of a relaxed HoBe2Si2Tc crystal.

a = 3.890 Å, b = 3.890 Å, c = 6.502 Å
α = 90.00°, β = 90.00°, γ = 120.00°
Positions (direct):
Ho 0.000 0.000 0.000
Be 0.333 0.667 0.328
Be 0.667 0.333 0.672
Si 0.333 0.667 0.713
Si 0.667 0.333 0.287
Tc 0.000 0.000 0.500

Size of the total moment (μB/cell): 0.00
Energy relative to the elements, uncorrected (meV per atom): -409
Crystal system: trigonal

***

Entry 12:
The following is a DFT calculation (PBE) of a relaxed CsKPb crystal.

a = 6.434 Å, b = 6.434 Å, c = 3.752 Å
α = 90.00°, β = 90.00°, γ = 120.00°
Positions (direct):
Cs 0.000 0.000 0.000
K 0.667 0.333 0.899
Pb 0.333 0.667 0.470

Size of the total moment (μB/cell): 0.00
Energy relative to the lowest polymorph listed for this composition (eV/atom): 0.104
Formation energy from the elements (eV per atom): 0.007
Crystal system: trigonal

***

Entry 13:
The following is a DFT calculation (PBE) of a relaxed RePbBr2F6 crystal.

a = 6.482 Å, b = 6.482 Å, c = 6.482 Å
α = 60.00°, β = 60.00°, γ = 60.00°
Positions (direct):
Re 0.000 0.000 0.000
Pb 0.500 0.500 0.500
Br 0.250 0.250 0.250
Br 0.750 0.750 0.750
F 0.208 0.208 0.792
F 0.208 0.792 0.208
F 0.208 0.792 0.792
F 0.792 0.208 0.208
F 0.792 0.208 0.792
F 0.792 0.792 0.208

Size of the total moment (μB/cell): 0.96
Energy relative to the elements, uncorrected (meV per atom): -1544
Crystal system: cubic

***

Entry 14:
The following is a DFT calculation (PBE) of a relaxed CdCoBr2 crystal.

a = 3.942 Å, b = 3.942 Å, c = 6.648 Å
α = 90.00°, β = 90.00°, γ = 90.00°
Positions (direct):
Cd 0.000 0.000 0.000
Co 0.000 0.500 0.500
Br 0.500 0.000 0.500
Br 0.500 0.500 0.000

Size of the total moment (μB/cell): 2.05
Energy relative to the lowest polymorph listed for this composition (eV/atom): 0.428
Energy relative to the elements, uncorrected (meV per atom): 303
Crystal system: orthorhombic

***

Entry 15:
The following is a DFT calculation (PBE) of a relaxed Tb2Nd3ErSe6 crystal.

a = 7.149 Å, b = 7.149 Å, c = 7.291 Å
α = 99.39°, β = 99.39°, γ = 120.28°
Positions (direct):
Tb 0.167 0.833 0.000
Tb 0.833 0.167 0.000
Nd 0.000 0.000 0.500
Nd 0.331 0.669 0.500
Nd 0.669 0.331 0.500
Er 0.500 0.500 0.000
Se 0.092 0.422 0.765
Se 0.249 0.249 0.237
Se 0.422 0.092 0.765
Se 0.578 0.908 0.235
Se 0.751 0.751 0.763
Se 0.908 0.578 0.235

Size of the total moment (μB/cell): 0.00
Energy relative to the elements, uncorrected (meV per atom): -1799
Crystal system: monoclinic

***

Entry 16:
The following is a DFT calculation (PBE) of a relaxed UCo3B2 crystal.

a = 8.364 Å, b = 8.364 Å, c = 3.232 Å
α = 90.00°, β = 90.00°, γ = 120.00°
Positions (direct):
U 0.000 0.000 0.000
U 0.333 0.667 0.500
U 0.667 0.333 0.500
Co 0.000 0.282 0.500
Co 0.000 0.500 0.000
Co 0.000 0.718 0.500
Co 0.282 0.000 0.500
Co 0.282 0.282 0.500
Co 0.500 0.000 0.000
Co 0.500 0.500 0.000
Co 0.718 0.000 0.500
Co 0.718 0.718 0.500
B 0.190 0.381 0.000
B 0.190 0.810 0.000
B 0.381 0.190 0.000
B 0.619 0.810 0.000
B 0.810 0.190 0.000
B 0.810 0.619 0.000

Size of the total moment (μB/cell): 3.76
Energy relative to the lowest polymorph listed for this composition (eV/atom): 0.146
Formation energy from the elements (eV per atom): -0.289
Crystal system: hexagonal

***

Entry 17:
The following is a DFT calculation (PBE) of a relaxed TeIr2PbCl crystal.

a = 4.824 Å, b = 4.824 Å, c = 6.585 Å
α = 90.00°, β = 90.00°, γ = 90.00°
Positions (direct):
Te 0.000 0.000 0.000
Ir 0.000 0.500 0.000
Ir 0.500 0.000 0.000
Pb 0.000 0.000 0.500
Cl 0.500 0.500 0.500

Size of the total moment (μB/cell): 0.13
Energy relative to the elements, uncorrected (meV per atom): 1049
Crystal system: tetragonal

***

Entry 18:
The following is a DFT calculation (PBE) of a relaxed Cr2HgB2 crystal.

a = 3.847 Å, b = 3.847 Å, c = 8.043 Å
α = 90.00°, β = 90.00°, γ = 90.00°
Positions (direct):
Cr 0.000 0.000 0.163
Cr 0.000 0.000 0.837
Cr 0.500 0.500 0.337
Cr 0.500 0.500 0.663
Hg 0.000 0.000 0.500
Hg 0.500 0.500 0.000
B 0.000 0.500 0.250
B 0.000 0.500 0.750
B 0.500 0.000 0.250
B 0.500 0.000 0.750

Size of the total moment (μB/cell): 0.00
Energy relative to the lowest polymorph listed for this composition (eV/atom): 0.000
Formation energy from the elements (eV per atom): 0.614
Crystal system: tetragonal

***

Entry 19:
The following is a DFT calculation (PBE) of a relaxed TaNiI3 crystal.

a = 5.137 Å, b = 5.137 Å, c = 5.137 Å
α = 90.00°, β = 90.00°, γ = 90.00°
Positions (direct):
Ta 0.000 0.000 0.000
Ni 0.500 0.500 0.500
I 0.000 0.500 0.500
I 0.500 0.000 0.500
I 0.500 0.500 0.000

Size of the total moment (μB/cell): 2.86
Energy relative to the lowest polymorph listed for this composition (eV/atom): 0.101
Energy relative to the elements, uncorrected (meV per atom): 1007
Crystal system: cubic

***

Entry 20:
The following is a DFT calculation (PBE) of a relaxed Sm2Ga2Ir crystal.

a = 3.832 Å, b = 4.322 Å, c = 13.654 Å
α = 90.00°, β = 90.00°, γ = 90.00°
Positions (direct):
Sm 0.000 0.000 0.000
Sm 0.000 0.000 0.262
Sm 0.000 0.500 0.500
Sm 0.000 0.500 0.762
Ga 0.500 0.000 0.624
Ga 0.500 0.000 0.825
Ga 0.500 0.500 0.124
Ga 0.500 0.500 0.325
Ir 0.500 0.000 0.431
Ir 0.500 0.500 0.931

Size of the total moment (μB/cell): 0.00
Energy relative to the lowest polymorph listed for this composition (eV/atom): 0.048
Formation energy from the elements (eV per atom): -0.671
Crystal system: orthorhombic

***

Entry 21:
The following is a DFT calculation (PBE) of a relaxed ThZrSn crystal.

a = 4.378 Å, b = 4.378 Å, c = 17.228 Å
α = 90.00°, β = 90.00°, γ = 90.00°
Positions (direct):
Th 0.000 0.000 0.179
Th 0.000 0.000 0.821
Th 0.500 0.500 0.321
Th 0.500 0.500 0.679
Zr 0.000 0.500 0.000
Zr 0.000 0.500 0.500
Zr 0.500 0.000 0.000
Zr 0.500 0.000 0.500
Sn 0.000 0.000 0.374
Sn 0.000 0.000 0.626
Sn 0.500 0.500 0.126
Sn 0.500 0.500 0.874

Size of the total moment (μB/cell): 0.00
Formation energy from the elements (eV per atom): -0.465
Crystal system: tetragonal

***

Entry 22:
The following is a DFT calculation (PBE) of a relaxed MoAuCl2 crystal.

a = 10.323 Å, b = 2.959 Å, c = 7.187 Å
α = 90.00°, β = 112.31°, γ = 90.00°
Positions (direct):
Mo 0.000 0.000 0.000
Mo 0.500 0.500 0.000
Au 0.236 0.500 0.000
Au 0.736 0.000 0.000
Cl 0.059 0.500 0.290
Cl 0.405 0.000 0.710
Cl 0.559 0.000 0.290
Cl 0.905 0.500 0.710

Size of the total moment (μB/cell): 2.62
Energy relative to the lowest polymorph listed for this composition (eV/atom): 0.025
Energy relative to the elements, uncorrected (meV per atom): -169
Crystal system: monoclinic

***

Entry 23:
The following is a DFT calculation (PBE) of a relaxed Dy4IrSe2Br crystal.

a = 7.247 Å, b = 4.004 Å, c = 7.289 Å
α = 90.00°, β = 107.95°, γ = 90.00°
Positions (direct):
Dy 0.225 0.000 0.215
Dy 0.254 0.500 0.779
Dy 0.746 0.500 0.221
Dy 0.775 0.000 0.785
Ir 0.000 0.500 0.000
Se 0.500 0.000 0.000
Se 0.500 0.500 0.500
Br 0.000 0.000 0.500

Size of the total moment (μB/cell): 0.00
Energy relative to the elements, uncorrected (meV per atom): -1346
Crystal system: monoclinic

***

Entry 24:
The following is a DFT calculation (PBE) of a relaxed Sc2NbH crystal.

a = 6.219 Å, b = 6.219 Å, c = 7.051 Å
α = 90.00°, β = 90.00°, γ = 90.00°
Positions (direct):
Sc 0.128 0.250 0.125
Sc 0.250 0.628 0.375
Sc 0.250 0.872 0.875
Sc 0.372 0.250 0.625
Sc 0.628 0.750 0.625
Sc 0.750 0.128 0.875
Sc 0.750 0.372 0.375
Sc 0.872 0.750 0.125
Nb 0.000 0.000 0.500
Nb 0.000 0.500 0.750
Nb 0.500 0.000 0.250
Nb 0.500 0.500 0.000
H 0.000 0.000 0.000
H 0.000 0.500 0.250
H 0.500 0.000 0.750
H 0.500 0.500 0.500

Size of the total moment (μB/cell): 3.96
Energy relative to the lowest polymorph listed for this composition (eV/atom): 0.000
Crystal system: tetragonal

***

Entry 25:
The following is a DFT calculation (PBE) of a relaxed AcLaAlHg crystal.

a = 3.878 Å, b = 3.878 Å, c = 8.055 Å
α = 90.00°, β = 90.00°, γ = 90.00°
Positions (direct):
Ac 0.000 0.000 0.000
La 0.000 0.000 0.476
Al 0.500 0.500 0.249
Hg 0.500 0.500 0.722

Size of the total moment (μB/cell): 0.00
Energy relative to the lowest polymorph listed for this composition (eV/atom): 0.000
Formation energy from the elements (eV per atom): -0.392
Crystal system: tetragonal

***

Entry 26:
The following is a DFT calculation (PBE) of a relaxed HoTlInHg crystal.

a = 7.456 Å, b = 7.456 Å, c = 7.456 Å
α = 90.00°, β = 90.00°, γ = 90.00°
Positions (direct):
Ho 0.000 0.000 0.000
Ho 0.000 0.500 0.500
Ho 0.500 0.000 0.500
Ho 0.500 0.500 0.000
Tl 0.250 0.250 0.750
Tl 0.250 0.750 0.250
Tl 0.750 0.250 0.250
Tl 0.750 0.750 0.750
In 0.000 0.000 0.500
In 0.000 0.500 0.000
In 0.500 0.000 0.000
In 0.500 0.500 0.500
Hg 0.250 0.250 0.250
Hg 0.250 0.750 0.750
Hg 0.750 0.250 0.750
Hg 0.750 0.750 0.250

Size of the total moment (μB/cell): 0.00
Energy relative to the lowest polymorph listed for this composition (eV/atom): 0.122
Formation energy from the elements (eV per atom): -0.175
Crystal system: cubic